1.
La2Pr2AlGe4 | PBE-GGA | relaxed

Cell: 6.8034 6.8034 6.8034 Å, 96.72 116.20 116.20°
Last column: nearest neighbours and their distance in Å.
Sites, in units of the cell vectors:
Al 0.0000 0.0000 0.0000  4 Ge 2.50
La 0.5000 0.7500 0.2500  8 Ge 3.40, 4 Pr 3.64
La 0.5000 0.2500 0.7500  8 Ge 3.40, 4 Pr 3.64
Pr 0.0000 0.3133 0.3133  1 Al 2.83, 4 Ge 3.09
Pr 0.0000 0.6867 0.6867  1 Al 2.83, 4 Ge 3.09
Ge 0.0000 0.2458 0.7542  1 Al 2.50
Ge 0.4916 0.2458 0.2458  1 Al 2.50
Ge 0.0000 0.7542 0.2458  1 Al 2.50
Ge 0.5084 0.7542 0.7542  1 Al 2.50

## Properties
Mass density   6.23 g/cm3
Magnetization   0.001 Bohr magnetons per cell
Symmetry   No. 139
VASP energy   -5.001 eV per atom
Calculated formation energy   -0.376 eV/atom

2.
BaAgO3 | PBE-GGA | relaxed

Cell: 4.5149 4.5149 10.7304 Å, 77.86 77.86 90.00°
Last column: nearest neighbours and their distance in Å.
Sites, in units of the cell vectors:
O 0.6906 0.6906 0.6188  2 Ag 2.28
O 0.0960 0.7461 0.8080  1 O 1.36
O 0.3094 0.3094 0.3812  2 Ag 2.28
O 0.5541 0.9040 0.1920  1 O 1.36
O 0.0960 0.4459 0.8080  1 O 1.36
O 0.2539 0.9040 0.1920  1 O 1.36
Ag 0.8253 0.3253 0.3494  2 O 2.28
Ag 0.6747 0.1747 0.6506  2 O 2.28
Ba 0.2500 0.7500 0.5000  4 O 2.56
Ba 0.0000 0.0000 0.0000  4 O 2.52

## Properties
Mass density   4.66 g/cm3
Magnetization   2.000 Bohr magnetons per cell
Symmetry   No. 119
VASP energy   -4.683 eV per atom

3.
Sc2VInC | PBE-GGA | relaxed

Cell: 4.5745 4.5745 4.0856 Å, 90.00 90.00 90.00°
Last column: nearest neighbours and their distance in Å.
Sites, in units of the cell vectors:
Sc 0.0000 0.5000 0.0000  2 C 2.29
Sc 0.5000 0.0000 0.0000  2 C 2.29
V 0.0000 0.0000 0.5000  2 C 2.04
C 0.0000 0.0000 0.0000  2 V 2.04, 4 Sc 2.29
In 0.5000 0.5000 0.5000  8 Sc 3.07, 4 V 3.23

## Properties
Mass density   5.20 g/cm3
Magnetization   1.473 Bohr magnetons per cell
Symmetry   No. 123
VASP energy   -7.228 eV per atom
Calculated formation energy   -0.479 eV/atom

4.
BeAg2Ru | PBE-GGA | relaxed

Cell: 2.8307 2.8307 7.1823 Å, 90.00 90.00 90.00°
Last column: nearest neighbours and their distance in Å.
Sites, in units of the cell vectors:
Ag 0.5000 0.5000 0.2909  4 Be 2.63, 4 Ag 2.83, 1 Ru 2.91
Ag 0.0000 0.0000 0.9851  8 Ag 2.83-2.97, 4 Ru 2.89
Be 0.0000 0.0000 0.5285  4 Ru 2.33
Ru 0.5000 0.5000 0.6955  4 Be 2.33

## Properties
Mass density   9.40 g/cm3
Magnetization   0.000 Bohr magnetons per cell
Symmetry   No. 99
VASP energy   -4.524 eV per atom
Calculated formation energy   0.152 eV/atom

5.
AlVAu2 | PBE-GGA | relaxed

Cell: 3.5180 4.3451 4.3451 Å, 90.00 90.00 90.00°
Last column: nearest neighbours and their distance in Å.
Sites, in units of the cell vectors:
V 0.5000 0.0000 0.0000  8 Au 2.80, 4 Al 3.07
Al 0.5000 0.5000 0.5000  8 Au 2.80, 4 V 3.07
Au 0.0000 0.0000 0.5000  4 Al 2.80, 4 V 2.80, 4 Au 3.07
Au 0.0000 0.5000 0.0000  4 Al 2.80, 4 V 2.80, 4 Au 3.07

## Properties
Mass density   11.80 g/cm3
Magnetization   2.585 Bohr magnetons per cell
Symmetry   No. 123
VASP energy   -4.998 eV per atom
Calculated formation energy   -0.144 eV/atom

6.
Zn2IrSeF | PBE-GGA | relaxed

Cell: 4.9333 4.5194 4.9333 Å, 90.00 90.00 90.00°
Last column: nearest neighbours and their distance in Å.
Sites, in units of the cell vectors:
Ir 0.0000 0.0000 0.0000  2 Se 2.26, 4 Zn 2.47
Se 0.0000 0.5000 0.0000  2 Ir 2.26
Zn 0.5000 0.0000 0.0000  2 Ir 2.47
Zn 0.0000 0.0000 0.5000  2 Ir 2.47
F 0.5000 0.5000 0.5000  8 Zn 3.35, 4 Se 3.49

## Properties
Mass density   6.36 g/cm3
Magnetization   0.000 Bohr magnetons per cell
Symmetry   No. 123
VASP energy   -3.586 eV per atom

7.
Mg2ZrVIr | PBE-GGA | relaxed

Cell: 4.8397 4.8397 4.6941 Å, 90.00 90.00 90.00°
Last column: nearest neighbours and their distance in Å.
Sites, in units of the cell vectors:
Mg 0.0000 0.5000 0.0000  2 Ir 2.42
Mg 0.5000 0.0000 0.0000  2 Ir 2.42
V 0.0000 0.0000 0.5000  2 Ir 2.35
Ir 0.0000 0.0000 0.0000  2 V 2.35, 4 Mg 2.42
Zr 0.5000 0.5000 0.5000  8 Mg 3.37, 4 V 3.42

## Properties
Mass density   5.78 g/cm3
Magnetization   1.898 Bohr magnetons per cell
Symmetry   No. 123
VASP energy   -5.470 eV per atom
Calculated formation energy   0.474 eV/atom

8.
LaAl2Hg | PBE-GGA | relaxed

Cell: 4.6787 3.5164 5.9015 Å, 90.24 90.00 90.00°
Last column: nearest neighbours and their distance in Å.
Sites, in units of the cell vectors:
Al 0.0000 0.2531 0.9950  2 Hg 2.78, 2 Al 2.89-3.01
Al 0.0000 0.2469 0.5050  2 Hg 2.78, 2 Al 2.89-3.01
Hg 0.5000 0.2500 0.2500  4 Al 2.78
La 0.5000 0.7500 0.7500  8 Al 3.26-3.27, 4 Hg 3.43-3.44, 2 La 3.52

## Properties
Mass density   6.73 g/cm3
Magnetization   0.000 Bohr magnetons per cell
Symmetry   No. 10
VASP energy   -3.387 eV per atom
Calculated formation energy   -0.208 eV/atom

9.
HoLuCdPd | PBE-GGA | relaxed

Cell: 5.0629 5.0629 5.0629 Å, 60.00 60.00 60.00°
Last column: nearest neighbours and their distance in Å.
Sites, in units of the cell vectors:
Ho 0.2500 0.2500 0.2500  4 Cd 3.10, 4 Pd 3.10
Lu 0.7500 0.7500 0.7500  4 Cd 3.10, 4 Pd 3.10
Cd 0.0000 0.0000 0.0000  4 Lu 3.10, 4 Ho 3.10
Pd 0.5000 0.5000 0.5000  4 Ho 3.10, 4 Lu 3.10

## Properties
Mass density   10.11 g/cm3
Magnetization   0.002 Bohr magnetons per cell
Symmetry   No. 216
VASP energy   -4.373 eV per atom
Calculated formation energy   -0.572 eV/atom

10.
ReAg3 | PBE-GGA | relaxed

Cell: 2.7273 2.7273 9.0142 Å, 90.00 90.00 90.00°
Last column: nearest neighbours and their distance in Å.
Sites, in units of the cell vectors:
Ag 0.0000 0.0000 0.5041  8 Ag 2.73-2.99, 4 Re 2.94
Ag 0.5000 0.5000 0.2500  12 Ag 2.73-2.99
Ag 0.0000 0.0000 0.9959  8 Ag 2.73-2.99, 4 Re 2.94
Re 0.5000 0.5000 0.7500  4 Re 2.73, 8 Ag 2.94

## Properties
Relative energy among the computed polymorphs   66.4 meV per atom
Mass density   12.63 g/cm3
Magnetization   0.000 Bohr magnetons per cell
Symmetry   No. 123
VASP energy   -4.796 eV per atom
Calculated formation energy   0.454 eV/atom

11.
Ba3LaPd | PBE-GGA | relaxed

Cell: 6.2283 6.2283 6.2283 Å, 90.00 90.00 90.00°
Last column: nearest neighbours and their distance in Å.
Sites, in units of the cell vectors:
La 0.0000 0.0000 0.0000  6 Ba 3.11
Ba 0.0000 0.0000 0.5000  2 La 3.11
Ba 0.5000 0.0000 0.0000  2 La 3.11
Ba 0.0000 0.5000 0.0000  2 La 3.11
Pd 0.5000 0.5000 0.5000  12 Ba 4.40

## Properties
Relative energy among the computed polymorphs   787.3 meV per atom
Mass density   4.52 g/cm3
Magnetization   0.000 Bohr magnetons per cell
Symmetry   No. 221
VASP energy   -2.366 eV per atom
Calculated formation energy   0.811 eV/atom

12.
Ta2Ni2Hg | PBE-GGA | relaxed

Cell: 7.7504 7.7504 2.7352 Å, 90.00 90.00 90.00°
Last column: nearest neighbours and their distance in Å.
Sites, in units of the cell vectors:
Ta 0.3725 0.8725 0.0000  6 Ni 2.66, 3 Ta 2.74-2.79
Ta 0.6275 0.1275 0.0000  6 Ni 2.66, 3 Ta 2.74-2.79
Ta 0.1275 0.3725 0.0000  6 Ni 2.66, 3 Ta 2.74-2.79
Ta 0.8725 0.6275 0.0000  6 Ni 2.66, 3 Ta 2.74-2.79
Ni 0.8352 0.3352 0.5000  6 Ta 2.66, 2 Ni 2.74
Ni 0.3352 0.1648 0.5000  6 Ta 2.66, 2 Ni 2.74
Ni 0.1648 0.6648 0.5000  6 Ta 2.66, 2 Ni 2.74
Ni 0.6648 0.8352 0.5000  6 Ta 2.66, 2 Ni 2.74
Hg 0.0000 0.0000 0.0000  2 Hg 2.74, 4 Ta 3.05
Hg 0.5000 0.5000 0.0000  2 Hg 2.74, 4 Ta 3.05

## Properties
Relative energy among the computed polymorphs   219.0 meV per atom
Mass density   13.74 g/cm3
Magnetization   0.000 Bohr magnetons per cell
Symmetry   No. 127
VASP energy   -6.921 eV per atom
Calculated formation energy   0.193 eV/atom